Record 1
VASP calculation (GGA-PBE) on a relaxed structure of PmPdS2.

Lattice parameters (Å, degrees): 4.050 4.050 7.323 73.94 73.94 60.00
Positions (direct):
Pm: 0.495 0.495 0.516
S: 0.057 0.057 0.829
S: 0.228 0.228 0.315
Pd: 0.720 0.720 0.840

Results
space-group type: R3m
Fermi-level density of states: 2.9 states/eV/f.u.
E_form (uncorrected): -1116 meV/atom
energy relative to the lowest polymorph listed for this composition: 0.000 eV per atom
size of the total moment: 0.0 μB per formula unit

Record 2
VASP calculation (GGA-PBE) on a relaxed structure of CaCu12Ge6.

Lattice parameters (Å, degrees): 6.874 6.874 6.874 103.36 103.36 103.36
Positions (direct):
Cu: 0.387 0.138 0.387
Cu: 0.113 0.887 0.500
Cu: 0.113 0.500 0.887
Cu: 0.862 0.613 0.613
Cu: 0.887 0.500 0.113
Cu: 0.387 0.387 0.138
Cu: 0.613 0.862 0.613
Cu: 0.500 0.887 0.113
Cu: 0.500 0.113 0.887
Cu: 0.613 0.613 0.862
Cu: 0.887 0.113 0.500
Cu: 0.138 0.387 0.387
Ge: 0.272 0.700 0.272
Ge: 0.300 0.728 0.728
Ge: 0.728 0.300 0.728
Ge: 0.272 0.272 0.700
Ge: 0.728 0.728 0.300
Ge: 0.700 0.272 0.272
Ca: 0.000 0.000 0.000

Results
E_form: 0.075 eV per atom
space-group type: R-3m
Fermi-level density of states: 8.0 states/eV/f.u.
size of the total moment: 0.0 μB per formula unit

Record 3
VASP calculation (GGA-PBE) on a relaxed structure of YBeCo2.

Lattice parameters (Å, degrees): 4.354 4.354 4.354 60.00 60.00 60.00
Positions (direct):
Co: 0.000 0.000 0.000
Co: 0.250 0.250 0.250
Y: 0.750 0.750 0.750
Be: 0.500 0.500 0.500

Results
E_form: 0.252 eV per atom
space-group type: F-43m
Fermi-level density of states: 4.9 states/eV/f.u.
size of the total moment: 2.7 μB per formula unit

Record 4
VASP calculation (GGA-PBE) on a relaxed structure of SmAlH.

Lattice parameters (Å, degrees): 4.259 4.401 11.446 90.00 90.00 90.00
Positions (direct):
Al: 0.250 0.500 0.574
Al: 0.750 0.000 0.926
Al: 0.750 0.500 0.426
Al: 0.250 0.000 0.074
H: 0.750 0.568 0.937
H: 0.250 0.432 0.063
H: 0.250 0.068 0.563
H: 0.750 0.932 0.437
Sm: 0.250 0.000 0.362
Sm: 0.750 0.000 0.638
Sm: 0.750 0.500 0.138
Sm: 0.250 0.500 0.862

Results
space-group type: Pnma
Fermi-level density of states: 1.8 states/eV/f.u.
energy relative to the lowest polymorph listed for this composition: 0.005 eV per atom
size of the total moment: 0.0 μB per formula unit

Record 5
VASP calculation (GGA-PBE) on a relaxed structure of NaIn2BiCl6.

Lattice parameters (Å, degrees): 7.326 7.841 10.655 90.00 89.38 90.00
Positions (direct):
Cl: 0.694 0.312 0.951
Cl: 0.683 0.296 0.552
Cl: 0.606 0.031 0.254
Cl: 0.817 0.796 0.948
Cl: 0.194 0.188 0.451
Cl: 0.183 0.204 0.052
Cl: 0.106 0.469 0.754
Cl: 0.306 0.688 0.049
Cl: 0.317 0.704 0.448
Cl: 0.394 0.969 0.746
Cl: 0.806 0.812 0.549
Cl: 0.894 0.531 0.246
Bi: 0.000 0.500 0.000
Bi: 0.500 0.000 0.500
Na: 0.500 0.000 0.000
Na: 0.000 0.500 0.500
In: 0.023 0.925 0.251
In: 0.977 0.075 0.749
In: 0.477 0.425 0.249
In: 0.523 0.575 0.751

Results
space-group type: P2_1/c
Fermi-level density of states: 0.0 states/eV/f.u.
E_form (uncorrected): -1099 meV/atom
size of the total moment: 0.0 μB per formula unit

Record 6
VASP calculation (GGA-PBE) on a relaxed structure of Tl2ReCl2F4.

Lattice parameters (Å, degrees): 5.368 6.767 6.767 55.26 92.44 92.44
Positions (direct):
F: 0.733 0.815 0.280
F: 0.267 0.720 0.185
F: 0.267 0.185 0.720
F: 0.733 0.280 0.815
Cl: 0.664 0.819 0.819
Cl: 0.336 0.181 0.181
Tl: 0.832 0.361 0.361
Tl: 0.168 0.639 0.639
Re: 0.500 0.000 0.000

Results
space-group type: C2/m
E_form (uncorrected): -1608 meV/atom
size of the total moment: 3.0 μB per formula unit

Record 7
VASP calculation (GGA-PBE) on a relaxed structure of ScCrFe.

Lattice parameters (Å, degrees): 5.531 5.531 2.897 74.81 74.82 30.36
Positions (direct):
Sc: 0.667 0.667 0.333
Fe: 0.360 0.360 0.640
Cr: 0.972 0.972 0.028

Results
E_form: 0.121 eV per atom
space-group type: I4mm
Fermi-level density of states: 3.7 states/eV/f.u.
energy relative to the lowest polymorph listed for this composition: 0.215 eV per atom
size of the total moment: 0.8 μB per formula unit

Record 8
VASP calculation (GGA-PBE) on a relaxed structure of UNb2Ga.

Lattice parameters (Å, degrees): 3.607 4.514 4.514 90.00 90.00 90.00
Positions (direct):
Ga: 0.500 0.000 0.000
Nb: 0.000 0.500 0.000
Nb: 0.000 0.000 0.500
U: 0.500 0.500 0.500

Results
E_form: -0.069 eV per atom
space-group type: P4/mmm
Fermi-level density of states: 6.6 states/eV/f.u.
energy relative to the lowest polymorph listed for this composition: 0.000 eV per atom
size of the total moment: 0.4 μB per formula unit

Record 9
VASP calculation (GGA-PBE) on a relaxed structure of LaZnSnSb2.

Lattice parameters (Å, degrees): 6.057 6.166 6.057 90.00 90.00 90.00
Positions (direct):
Sn: 0.000 0.500 0.000
La: 0.000 0.000 0.000
Sb: 0.500 0.000 0.000
Sb: 0.000 0.000 0.500
Zn: 0.500 0.500 0.500

Results
space-group type: P4/mmm
Fermi-level density of states: 3.6 states/eV/f.u.
E_form (uncorrected): 611 meV/atom
size of the total moment: 0.0 μB per formula unit

Record 10
VASP calculation (GGA-PBE) on a relaxed structure of KRb14P.

Lattice parameters (Å, degrees): 10.205 10.205 12.944 90.00 90.00 102.28
Positions (direct):
K: 0.129 0.871 0.500
Rb: 0.583 0.417 0.000
Rb: 0.802 0.527 0.667
Rb: 0.342 0.658 0.244
Rb: 0.104 0.896 0.000
Rb: 0.104 0.371 0.500
Rb: 0.342 0.658 0.756
Rb: 0.889 0.111 0.711
Rb: 0.629 0.896 0.500
Rb: 0.889 0.111 0.289
Rb: 0.473 0.198 0.333
Rb: 0.473 0.198 0.667
Rb: 0.802 0.527 0.333
Rb: 0.621 0.936 0.000
Rb: 0.064 0.379 0.000
P: 0.756 0.244 0.500

Results
E_form: -0.007 eV per atom
space-group type: Amm2
Fermi-level density of states: 13.8 states/eV/f.u.
size of the total moment: 0.0 μB per formula unit

no.,ρ (g/cm³)
1,5.31
2,7.01
3,6.14
4,5.52
5,3.66
6,6.10
7,5.89
8,11.15
9,4.16
10,1.60